Entry 1:
A crystal of BaLaCr2 relaxed with PBEsol, computed with meta-GGA SCAN.

```
data_BaLaCr2
_chemical_formula_sum 'Ba1 La1 Cr2'
_cell_length_a 5.313
_cell_length_b 5.313
_cell_length_c 5.313
_cell_angle_alpha 60.00
_cell_angle_beta 60.00
_cell_angle_gamma 60.00
_space_group_name_H-M_alt 'P 1'
_space_group_IT_number 1
loop_
_space_group_symop_operation_xyz
'x,y,z'
loop_
_atom_site_label
_atom_site_fract_x
_atom_site_fract_y
_atom_site_fract_z
Ba1 0.000 0.000 0.000
La1 0.750 0.750 0.750
Cr1 0.250 0.250 0.250
Cr2 0.500 0.500 0.500
```

## Properties
crystal system: cubic
DFT total energy: -1.078 Ha/atom
V: 106 Å³ per cell
formation energy from the elements: 0.526 eV per atom
DOS at the Fermi energy: 3.6 states/eV/f.u.

=====

Entry 2:
A crystal of YF3 relaxed with PBEsol, computed with meta-GGA SCAN.

```
data_YF3
_chemical_formula_sum 'Y6 F18'
_cell_length_a 6.727
_cell_length_b 6.727
_cell_length_c 6.913
_cell_angle_alpha 90.00
_cell_angle_beta 90.00
_cell_angle_gamma 120.00
_space_group_name_H-M_alt 'P 1'
_space_group_IT_number 1
loop_
_space_group_symop_operation_xyz
'x,y,z'
loop_
_atom_site_label
_atom_site_fract_x
_atom_site_fract_y
_atom_site_fract_z
Y1 0.000 0.346 0.250
Y2 0.000 0.654 0.750
Y3 0.346 0.000 0.250
Y4 0.346 0.346 0.750
Y5 0.654 0.000 0.750
Y6 0.654 0.654 0.250
F1 0.000 0.000 0.250
F2 0.000 0.000 0.750
F3 0.068 0.375 0.921
F4 0.068 0.694 0.421
F5 0.306 0.375 0.421
F6 0.306 0.932 0.921
F7 0.333 0.667 0.182
F8 0.333 0.667 0.682
F9 0.375 0.068 0.579
F10 0.375 0.306 0.079
F11 0.625 0.694 0.921
F12 0.625 0.932 0.421
F13 0.667 0.333 0.318
F14 0.667 0.333 0.818
F15 0.694 0.068 0.079
F16 0.694 0.625 0.579
F17 0.932 0.306 0.579
F18 0.932 0.625 0.079
```

## Properties
crystal system: trigonal
DFT total energy: -0.517 Ha/atom
V: 271 Å³ per cell
DOS at the Fermi energy: 0.0 states/eV/f.u.
raw formation energy: -4443 meV/atom

=====

Entry 3:
A crystal of ZrTa2Ru relaxed with PBEsol, computed with meta-GGA SCAN.

```
data_ZrTa2Ru
_chemical_formula_sum 'Zr1 Ta2 Ru1'
_cell_length_a 3.223
_cell_length_b 4.506
_cell_length_c 4.721
_cell_angle_alpha 90.00
_cell_angle_beta 90.00
_cell_angle_gamma 90.00
_space_group_name_H-M_alt 'P 1'
_space_group_IT_number 1
loop_
_space_group_symop_operation_xyz
'x,y,z'
loop_
_atom_site_label
_atom_site_fract_x
_atom_site_fract_y
_atom_site_fract_z
Zr1 0.000 0.000 0.000
Ta1 0.000 0.500 0.500
Ta2 0.500 0.000 0.500
Ru1 0.500 0.500 0.000
```

## Properties
crystal system: orthorhombic
DFT total energy: -1.835 Ha/atom
V: 69 Å³ per cell
formation energy from the elements: -0.260 eV per atom
DOS at the Fermi energy: 3.6 states/eV/f.u.

=====

Entry 4:
A crystal of ScAgSe2Br relaxed with PBEsol, computed with meta-GGA SCAN.

```
data_ScAgSe2Br
_chemical_formula_sum 'Sc1 Ag1 Se2 Br1'
_cell_length_a 5.015
_cell_length_b 5.015
_cell_length_c 4.955
_cell_angle_alpha 90.00
_cell_angle_beta 90.00
_cell_angle_gamma 90.00
_space_group_name_H-M_alt 'P 1'
_space_group_IT_number 1
loop_
_space_group_symop_operation_xyz
'x,y,z'
loop_
_atom_site_label
_atom_site_fract_x
_atom_site_fract_y
_atom_site_fract_z
Sc1 0.000 0.000 0.000
Ag1 0.500 0.500 0.500
Se1 0.000 0.500 0.500
Se2 0.500 0.000 0.500
Br1 0.500 0.500 0.000
```

## Properties
crystal system: tetragonal
DFT total energy: -0.777 Ha/atom
V: 125 Å³ per cell
DOS at the Fermi energy: 3.5 states/eV/f.u.
raw formation energy: -89 meV/atom

=====

Entry 5:
A crystal of BaRe2Cl relaxed with PBEsol, computed with meta-GGA SCAN.

```
data_BaRe2Cl
_chemical_formula_sum 'Ba1 Re2 Cl1'
_cell_length_a 4.787
_cell_length_b 4.787
_cell_length_c 4.787
_cell_angle_alpha 60.00
_cell_angle_beta 60.00
_cell_angle_gamma 60.00
_space_group_name_H-M_alt 'P 1'
_space_group_IT_number 1
loop_
_space_group_symop_operation_xyz
'x,y,z'
loop_
_atom_site_label
_atom_site_fract_x
_atom_site_fract_y
_atom_site_fract_z
Ba1 0.000 0.000 0.000
Re1 0.500 0.500 0.500
Re2 0.750 0.750 0.750
Cl1 0.250 0.250 0.250
```

## Properties
crystal system: cubic
DFT total energy: -1.696 Ha/atom
V: 78 Å³ per cell
DOS at the Fermi energy: 2.6 states/eV/f.u.
raw formation energy: 1291 meV/atom
ΔE to the lowest computed polymorph: 0.628 eV per atom

=====

Entry 6:
A crystal of PPt2W relaxed with PBEsol, computed with meta-GGA SCAN.

```
data_PPt2W
_chemical_formula_sum 'P1 Pt2 W1'
_cell_length_a 2.932
_cell_length_b 2.932
_cell_length_c 6.713
_cell_angle_alpha 90.00
_cell_angle_beta 90.00
_cell_angle_gamma 90.00
_space_group_name_H-M_alt 'P 1'
_space_group_IT_number 1
loop_
_space_group_symop_operation_xyz
'x,y,z'
loop_
_atom_site_label
_atom_site_fract_x
_atom_site_fract_y
_atom_site_fract_z
P1 0.000 0.000 0.000
Pt1 0.000 0.000 0.530
Pt2 0.500 0.500 0.224
W1 0.500 0.500 0.797
```

## Properties
crystal system: tetragonal
DFT total energy: -2.029 Ha/atom
V: 58 Å³ per cell
formation energy from the elements: -0.084 eV per atom
DOS at the Fermi energy: 2.6 states/eV/f.u.

=====

Entry 7:
A crystal of TeMoBr2 relaxed with PBEsol, computed with meta-GGA SCAN.

```
data_TeMoBr2
_chemical_formula_sum 'Te1 Mo1 Br2'
_cell_length_a 3.187
_cell_length_b 3.187
_cell_length_c 10.352
_cell_angle_alpha 90.00
_cell_angle_beta 90.00
_cell_angle_gamma 118.22
_space_group_name_H-M_alt 'P 1'
_space_group_IT_number 1
loop_
_space_group_symop_operation_xyz
'x,y,z'
loop_
_atom_site_label
_atom_site_fract_x
_atom_site_fract_y
_atom_site_fract_z
Te1 0.000 0.000 0.000
Mo1 0.500 0.500 0.789
Br1 0.000 0.000 0.600
Br2 0.500 0.500 0.297
```

## Properties
crystal system: orthorhombic
DFT total energy: -1.008 Ha/atom
V: 93 Å³ per cell
DOS at the Fermi energy: 3.6 states/eV/f.u.
raw formation energy: 335 meV/atom
ΔE to the lowest computed polymorph: 0.252 eV per atom

=====

Entry 8:
A crystal of SrScPb2 relaxed with PBEsol, computed with meta-GGA SCAN.

```
data_SrScPb2
_chemical_formula_sum 'Sr1 Sc1 Pb2'
_cell_length_a 11.197
_cell_length_b 11.197
_cell_length_c 11.197
_cell_angle_alpha 18.25
_cell_angle_beta 18.25
_cell_angle_gamma 18.25
_space_group_name_H-M_alt 'P 1'
_space_group_IT_number 1
loop_
_space_group_symop_operation_xyz
'x,y,z'
loop_
_atom_site_label
_atom_site_fract_x
_atom_site_fract_y
_atom_site_fract_z
Sr1 0.000 0.000 0.000
Sc1 0.242 0.242 0.242
Pb1 0.503 0.503 0.503
Pb2 0.755 0.755 0.755
```

## Properties
crystal system: trigonal
DFT total energy: -1.727 Ha/atom
V: 120 Å³ per cell
formation energy from the elements: 0.023 eV per atom
DOS at the Fermi energy: 3.3 states/eV/f.u.

=====

Entry 9:
A crystal of FeTeHPd2 relaxed with PBEsol, computed with meta-GGA SCAN.

```
data_FeTeHPd2
_chemical_formula_sum 'Fe1 Te1 H1 Pd2'
_cell_length_a 4.959
_cell_length_b 4.959
_cell_length_c 3.468
_cell_angle_alpha 90.00
_cell_angle_beta 90.00
_cell_angle_gamma 90.00
_space_group_name_H-M_alt 'P 1'
_space_group_IT_number 1
loop_
_space_group_symop_operation_xyz
'x,y,z'
loop_
_atom_site_label
_atom_site_fract_x
_atom_site_fract_y
_atom_site_fract_z
Fe1 0.000 0.000 0.000
Te1 0.500 0.500 0.500
H1 0.500 0.500 0.000
Pd1 0.000 0.500 0.500
Pd2 0.500 0.000 0.500
```

## Properties
crystal system: tetragonal
DFT total energy: -0.895 Ha/atom
V: 85 Å³ per cell
DOS at the Fermi energy: 2.8 states/eV/f.u.

=====

Entry 10:
A crystal of Li2TiMn2NiO8 relaxed with PBEsol, computed with meta-GGA SCAN.

```
data_Li2TiMn2NiO8
_chemical_formula_sum 'Li2 Ti1 Mn2 Ni1 O8'
_cell_length_a 5.776
_cell_length_b 5.776
_cell_length_c 5.796
_cell_angle_alpha 119.73
_cell_angle_beta 119.73
_cell_angle_gamma 59.36
_space_group_name_H-M_alt 'P 1'
_space_group_IT_number 1
loop_
_space_group_symop_operation_xyz
'x,y,z'
loop_
_atom_site_label
_atom_site_fract_x
_atom_site_fract_y
_atom_site_fract_z
Li1 0.119 0.119 0.366
Li2 0.881 0.881 0.634
Ti1 0.500 0.500 0.000
Mn1 0.000 0.500 0.000
Mn2 0.500 0.000 0.000
Ni1 0.500 0.500 0.500
O1 0.245 0.714 0.221
O2 0.255 0.255 0.221
O3 0.259 0.259 0.784
O4 0.286 0.755 0.779
O5 0.714 0.245 0.221
O6 0.741 0.741 0.216
O7 0.745 0.745 0.779
O8 0.755 0.286 0.779
```

## Properties
crystal system: monoclinic
DFT total energy: -0.410 Ha/atom
V: 137 Å³ per cell
raw formation energy: -2355 meV/atom

=====

Entry 11:
A crystal of K6Ba3Ta12Si8O52 relaxed with PBEsol, computed with meta-GGA SCAN.

```
data_K6Ba3Ta12Si8O52
_chemical_formula_sum 'K6 Ba3 Ta12 Si8 O52'
_cell_length_a 7.763
_cell_length_b 15.714
_cell_length_c 9.079
_cell_angle_alpha 90.00
_cell_angle_beta 90.00
_cell_angle_gamma 90.00
_space_group_name_H-M_alt 'P 1'
_space_group_IT_number 1
loop_
_space_group_symop_operation_xyz
'x,y,z'
loop_
_atom_site_label
_atom_site_fract_x
_atom_site_fract_y
_atom_site_fract_z
K1 0.000 0.000 0.000
K2 0.000 0.300 0.105
K3 0.000 0.700 0.105
K4 0.500 0.000 0.010
K5 0.500 0.302 0.104
K6 0.500 0.698 0.104
Ba1 0.000 0.197 0.599
Ba2 0.000 0.500 0.512
Ba3 0.000 0.803 0.599
Ta1 0.251 0.500 0.146
Ta2 0.252 0.120 0.282
Ta3 0.252 0.880 0.282
Ta4 0.253 0.382 0.788
Ta5 0.253 0.618 0.788
Ta6 0.255 0.000 0.638
Ta7 0.745 0.000 0.638
Ta8 0.747 0.382 0.788
Ta9 0.747 0.618 0.788
Ta10 0.748 0.120 0.282
Ta11 0.748 0.880 0.282
Ta12 0.749 0.500 0.146
Si1 0.289 0.167 0.898
Si2 0.289 0.833 0.898
Si3 0.292 0.334 0.409
Si4 0.292 0.666 0.409
Si5 0.708 0.334 0.409
Si6 0.708 0.666 0.409
Si7 0.711 0.167 0.898
Si8 0.711 0.833 0.898
O1 0.000 0.000 0.626
O2 0.000 0.116 0.292
O3 0.000 0.391 0.789
O4 0.000 0.500 0.134
O5 0.000 0.609 0.789
O6 0.000 0.884 0.292
O7 0.212 0.348 0.572
O8 0.212 0.652 0.572
O9 0.215 0.257 0.839
O10 0.215 0.743 0.839
O11 0.217 0.091 0.795
O12 0.217 0.909 0.795
O13 0.221 0.410 0.303
O14 0.221 0.590 0.303
O15 0.223 0.244 0.344
O16 0.223 0.756 0.344
O17 0.227 0.153 0.067
O18 0.227 0.847 0.067
O19 0.268 0.000 0.226
O20 0.268 0.089 0.490
O21 0.268 0.411 0.995
O22 0.268 0.589 0.995
O23 0.268 0.911 0.490
O24 0.271 0.500 0.726
O25 0.500 0.000 0.685
O26 0.500 0.139 0.259
O27 0.500 0.168 0.899
O28 0.500 0.335 0.407
O29 0.500 0.361 0.773
O30 0.500 0.500 0.178
O31 0.500 0.639 0.773
O32 0.500 0.665 0.407
O33 0.500 0.832 0.899
O34 0.500 0.861 0.259
O35 0.729 0.500 0.726
O36 0.732 0.000 0.226
O37 0.732 0.089 0.490
O38 0.732 0.411 0.995
O39 0.732 0.589 0.995
O40 0.732 0.911 0.490
O41 0.773 0.153 0.067
O42 0.773 0.847 0.067
O43 0.777 0.244 0.344
O44 0.777 0.756 0.344
O45 0.779 0.410 0.303
O46 0.779 0.590 0.303
O47 0.783 0.091 0.795
O48 0.783 0.909 0.795
O49 0.785 0.257 0.839
O50 0.785 0.743 0.839
O51 0.788 0.348 0.572
O52 0.788 0.652 0.572
```

## Properties
crystal system: orthorhombic
DFT total energy: -0.736 Ha/atom
V: 1107 Å³ per cell
DOS at the Fermi energy: 0.0 states/eV/f.u.
raw formation energy: -3081 meV/atom

=====

Entry 12:
A crystal of Li3Au relaxed with PBEsol, computed with meta-GGA SCAN.

```
data_Li3Au
_chemical_formula_sum 'Li3 Au1'
_cell_length_a 3.925
_cell_length_b 3.925
_cell_length_c 3.925
_cell_angle_alpha 90.00
_cell_angle_beta 90.00
_cell_angle_gamma 90.00
_space_group_name_H-M_alt 'P 1'
_space_group_IT_number 1
loop_
_space_group_symop_operation_xyz
'x,y,z'
loop_
_atom_site_label
_atom_site_fract_x
_atom_site_fract_y
_atom_site_fract_z
Li1 0.000 0.000 0.500
Li2 0.000 0.500 0.000
Li3 0.500 0.000 0.000
Au1 0.500 0.500 0.500
```

## Properties
crystal system: cubic
DFT total energy: -0.718 Ha/atom
V: 60 Å³ per cell
formation energy from the elements: -0.447 eV per atom
DOS at the Fermi energy: 1.3 states/eV/f.u.